Record 1
Material: ScMn2Rh
Method: DFT, SCAN
State: single point on PBEsol structure

Properties
Relative energy among the computed polymorphs   0.000 eV per atom
Crystal system   cubic
E_form   -0.320 eV per atom

```
ScMn2Rh
1.0
6.1236 0.0000 0.0000
0.0000 6.1236 0.0000
0.0000 0.0000 6.1236
Sc Mn Rh
4 8 4
direct
0.0000 0.0000 0.0000
0.0000 0.5000 0.5000
0.5000 0.0000 0.5000
0.5000 0.5000 0.0000
0.2500 0.2500 0.2500
0.2500 0.2500 0.7500
0.2500 0.7500 0.2500
0.2500 0.7500 0.7500
0.7500 0.2500 0.2500
0.7500 0.2500 0.7500
0.7500 0.7500 0.2500
0.7500 0.7500 0.7500
0.0000 0.0000 0.5000
0.0000 0.5000 0.0000
0.5000 0.0000 0.0000
0.5000 0.5000 0.5000
```

---

Record 2
Material: ScMn2Rh
Method: DFT, SCAN
State: single point on PBEsol structure

Properties
Relative energy among the computed polymorphs   0.038 eV per atom
Crystal system   tetragonal
E_form   -0.282 eV per atom

```
ScMn2Rh
1.0
3.0036 0.0000 0.0000
0.0000 3.0036 0.0000
0.0000 0.0000 6.5742
Sc Mn Rh
1 2 1
direct
0.0000 0.0000 0.0000
0.5000 0.5000 0.2802
0.5000 0.5000 0.7198
0.0000 0.0000 0.5000
```

---

Record 3
Material: MnRh2Se
Method: DFT, SCAN
State: single point on PBEsol structure

Properties
Formation energy (no corrections)   -207 meV per atom
Crystal system   orthorhombic

```
MnRh2Se
1.0
3.5720 0.0000 0.0000
0.0000 4.0684 0.0000
0.0000 0.0000 7.7309
Mn Rh Se
2 4 2
direct
0.0000 0.0000 0.0000
0.5000 0.5000 0.5000
0.0000 0.5000 0.2277
0.0000 0.5000 0.7723
0.5000 0.0000 0.2723
0.5000 0.0000 0.7277
0.0000 0.0000 0.5000
0.5000 0.5000 0.0000
```

---

Record 4
Material: MnSi2Rh
Method: DFT, SCAN
State: single point on PBEsol structure

Properties
Formation energy (no corrections)   -148 meV per atom
Crystal system   cubic

```
MnSi2Rh
1.0
5.9247 0.0000 0.0000
0.0000 5.9247 0.0000
0.0000 0.0000 5.9247
Mn Si Rh
4 8 4
direct
0.0000 0.0000 0.0000
0.0000 0.5000 0.5000
0.5000 0.0000 0.5000
0.5000 0.5000 0.0000
0.0000 0.0000 0.5000
0.0000 0.5000 0.0000
0.2500 0.2500 0.2500
0.2500 0.7500 0.7500
0.5000 0.0000 0.0000
0.5000 0.5000 0.5000
0.7500 0.2500 0.7500
0.7500 0.7500 0.2500
0.2500 0.2500 0.7500
0.2500 0.7500 0.2500
0.7500 0.2500 0.2500
0.7500 0.7500 0.7500
```

---

Record 5
Material: MnSi2Rh
Method: DFT, SCAN
State: single point on PBEsol structure

Properties
Formation energy (no corrections)   -435 meV per atom
Crystal system   monoclinic

```
MnSi2Rh
1.0
7.6696 0.0000 0.0000
0.0000 2.6999 0.0000
-1.0105 0.0000 4.6997
Mn Si Rh
2 4 2
direct
0.0000 0.0000 0.0000
0.5000 0.5000 0.0000
0.2469 0.5000 0.2293
0.2531 0.0000 0.7707
0.7469 0.0000 0.2293
0.7531 0.5000 0.7707
0.0000 0.5000 0.5000
0.5000 0.0000 0.5000
```

---

Record 6
Material: MnSi2Rh
Method: DFT, SCAN
State: single point on PBEsol structure

Properties
Formation energy (no corrections)   -628 meV per atom
Crystal system   tetragonal

```
MnSi2Rh
1.0
2.8395 0.0000 0.0000
0.0000 2.8395 0.0000
0.0000 0.0000 5.7041
Mn Si Rh
1 2 1
direct
0.0000 0.0000 0.0000
0.5000 0.5000 0.2235
0.5000 0.5000 0.7765
0.0000 0.0000 0.5000
```

---

Record 7
Material: MnSi2Rh
Method: DFT, SCAN
State: single point on PBEsol structure

Properties
Formation energy (no corrections)   -527 meV per atom
Crystal system   orthorhombic

```
MnSi2Rh
1.0
2.7619 0.0000 0.0000
0.0000 3.5112 0.0000
0.0000 0.0000 5.0546
Mn Si Rh
1 2 1
direct
0.0000 0.0000 0.0000
0.0000 0.0000 0.5297
0.5000 0.5000 0.8324
0.5000 0.5000 0.3390
```

---

Record 8
Material: MnSiRh3
Method: DFT, SCAN
State: single point on PBEsol structure

Properties
Formation energy (no corrections)   1117 meV per atom
Crystal system   cubic

```
MnSiRh3
1.0
4.3386 0.0000 0.0000
0.0000 4.3386 0.0000
0.0000 0.0000 4.3386
Mn Si Rh
1 1 3
direct
0.0000 0.0000 0.0000
0.5000 0.5000 0.5000
0.0000 0.0000 0.5000
0.0000 0.5000 0.0000
0.5000 0.0000 0.0000
```

---

Record 9
Material: Mn2SiRh
Method: DFT, SCAN
State: single point on PBEsol structure

Properties
Formation energy (no corrections)   -619 meV per atom
Crystal system   tetragonal

```
Mn2SiRh
1.0
3.7578 0.0000 0.0000
0.0000 3.7578 0.0000
0.0000 0.0000 6.8114
Mn Si Rh
4 2 2
direct
0.0000 0.0000 0.0000
0.0000 0.5000 0.2500
0.5000 0.0000 0.7500
0.5000 0.5000 0.5000
0.0000 0.5000 0.7500
0.5000 0.0000 0.2500
0.0000 0.0000 0.5000
0.5000 0.5000 0.0000
```

---

Record 10
Material: MnSi2Rh
Method: DFT, SCAN
State: single point on PBEsol structure

Properties
Formation energy (no corrections)   -588 meV per atom
Crystal system   tetragonal

```
MnSi2Rh
1.0
4.0061 0.0000 0.0000
0.0000 4.0061 0.0000
0.0000 0.0000 2.8920
Mn Si Rh
1 2 1
direct
0.0000 0.0000 0.0000
0.0000 0.5000 0.5000
0.5000 0.0000 0.5000
0.5000 0.5000 0.0000
```

---

Record 11
Material: Mn4SiRh
Method: DFT, SCAN
State: single point on PBEsol structure

Properties
Formation energy (no corrections)   129 meV per atom
Crystal system   cubic

```
Mn4SiRh
1.0
0.0000 3.2411 3.2411
3.2411 0.0000 3.2411
3.2411 3.2411 0.0000
Mn Si Rh
4 1 1
direct
0.3757 0.3757 0.3757
0.3757 0.3757 0.8728
0.3757 0.8728 0.3757
0.8728 0.3757 0.3757
0.7500 0.7500 0.7500
0.0000 0.0000 0.0000
```

---

Record 12
Material: Mn2SiRh
Method: DFT, SCAN
State: single point on PBEsol structure

Properties
Formation energy (no corrections)   -416 meV per atom
Crystal system   orthorhombic

```
Mn2SiRh
1.0
5.0129 0.0000 0.0000
0.0000 7.2822 0.0000
0.0000 0.0000 2.6211
Mn Si Rh
4 2 2
direct
0.2500 0.2500 0.0000
0.2500 0.7500 0.0000
0.7500 0.2500 0.0000
0.7500 0.7500 0.0000
0.0000 0.0000 0.5000
0.5000 0.5000 0.5000
0.0000 0.5000 0.5000
0.5000 0.0000 0.5000
```

---

Record 13
Material: MnSi2Rh
Method: DFT, SCAN
State: single point on PBEsol structure

Properties
Formation energy (no corrections)   -389 meV per atom
Crystal system   trigonal

```
MnSi2Rh
1.0
2.7367 0.0000 0.0000
-1.3683 2.3700 0.0000
0.0000 0.0000 22.4218
Mn Si Rh
3 6 3
direct
0.0000 0.0000 0.0000
0.3333 0.6667 0.6667
0.6667 0.3333 0.3333
0.0000 0.0000 0.2539
0.0000 0.0000 0.7461
0.3333 0.6667 0.4128
0.3333 0.6667 0.9206
0.6667 0.3333 0.0794
0.6667 0.3333 0.5872
0.0000 0.0000 0.5000
0.3333 0.6667 0.1667
0.6667 0.3333 0.8333
```

---

Record 14
Material: Mn2SiRh
Method: DFT, SCAN
State: single point on PBEsol structure

Properties
Formation energy (no corrections)   -532 meV per atom
Crystal system   tetragonal

```
Mn2SiRh
1.0
2.8554 0.0000 0.0000
0.0000 2.8554 0.0000
0.0000 0.0000 5.7769
Mn Si Rh
2 1 1
direct
0.0000 0.0000 0.0000
0.5000 0.5000 0.2269
0.5000 0.5000 0.7681
0.0000 0.0000 0.5220
```

---

Record 15
Material: Mn2SiRh
Method: DFT, SCAN
State: single point on PBEsol structure

Properties
Formation energy (no corrections)   -537 meV per atom
Crystal system   orthorhombic

```
Mn2SiRh
1.0
2.9418 0.0000 0.0000
0.0000 3.9950 0.0000
0.0000 0.0000 4.0189
Mn Si Rh
2 1 1
direct
0.0000 0.0000 0.0000
0.5000 0.5000 0.0000
0.0000 0.5000 0.5000
0.5000 0.0000 0.5000
```

---

Record 16
Material: TiMnSnRh2
Method: DFT, SCAN
State: single point on PBEsol structure

Properties
Crystal system   tetragonal
E_form   0.747 eV per atom

```
TiMnSnRh2
1.0
4.3620 0.0000 0.0000
0.0000 4.3620 0.0000
0.0000 0.0000 4.7043
Ti Mn Sn Rh
1 1 1 2
direct
0.0000 0.0000 0.0000
0.5000 0.5000 0.5000
0.5000 0.5000 0.0000
0.0000 0.5000 0.5000
0.5000 0.0000 0.5000
```

---

Record 17
Material: SrMnRh
Method: DFT, SCAN
State: single point on PBEsol structure

Properties
Relative energy among the computed polymorphs   0.192 eV per atom
Crystal system   cubic
E_form   0.083 eV per atom

```
SrMnRh
1.0
6.5087 0.0000 0.0000
0.0000 6.5087 0.0000
0.0000 0.0000 6.5087
Sr Mn Rh
4 4 4
direct
0.0000 0.0000 0.0000
0.0000 0.5000 0.5000
0.5000 0.0000 0.5000
0.5000 0.5000 0.0000
0.0000 0.0000 0.5000
0.0000 0.5000 0.0000
0.5000 0.0000 0.0000
0.5000 0.5000 0.5000
0.2500 0.2500 0.7500
0.2500 0.7500 0.2500
0.7500 0.2500 0.2500
0.7500 0.7500 0.7500
```

---

Record 18
Material: SrMnRh
Method: DFT, SCAN
State: single point on PBEsol structure

Properties
Relative energy among the computed polymorphs   0.000 eV per atom
Crystal system   orthorhombic
E_form   -0.109 eV per atom

```
SrMnRh
1.0
3.2490 0.0000 0.0000
0.0000 3.5102 0.0000
0.0000 0.0000 10.8831
Sr Mn Rh
2 2 2
direct
0.0000 0.0000 0.0000
0.5000 0.5000 0.5000
0.0000 0.0000 0.7197
0.5000 0.5000 0.2197
0.0000 0.0000 0.2931
0.5000 0.5000 0.7931
```

---

Record 19
Material: Sr2MnRh
Method: DFT, SCAN
State: single point on PBEsol structure

Properties
Relative energy among the computed polymorphs   0.086 eV per atom
Crystal system   orthorhombic
E_form   -0.058 eV per atom

```
Sr2MnRh
1.0
3.7330 0.0000 0.0000
0.0000 5.0544 0.0000
0.0000 0.0000 10.9634
Sr Mn Rh
4 2 2
direct
0.0000 0.0000 0.0000
0.0000 0.5000 0.2108
0.5000 0.0000 0.7108
0.5000 0.5000 0.5000
0.0000 0.5000 0.8053
0.5000 0.0000 0.3053
0.0000 0.0000 0.4458
0.5000 0.5000 0.9458
```

---

Record 20
Material: Sr2MnRh
Method: DFT, SCAN
State: single point on PBEsol structure

Properties
Relative energy among the computed polymorphs   0.296 eV per atom
Crystal system   cubic
E_form   0.152 eV per atom

```
Sr2MnRh
1.0
7.3366 0.0000 0.0000
0.0000 7.3366 0.0000
0.0000 0.0000 7.3366
Sr Mn Rh
8 4 4
direct
0.2500 0.2500 0.2500
0.2500 0.2500 0.7500
0.2500 0.7500 0.2500
0.2500 0.7500 0.7500
0.7500 0.2500 0.2500
0.7500 0.2500 0.7500
0.7500 0.7500 0.2500
0.7500 0.7500 0.7500
0.0000 0.0000 0.0000
0.0000 0.5000 0.5000
0.5000 0.0000 0.5000
0.5000 0.5000 0.0000
0.0000 0.0000 0.5000
0.0000 0.5000 0.0000
0.5000 0.0000 0.0000
0.5000 0.5000 0.5000
```

---

Record 21
Material: Sr2MnRh
Method: DFT, SCAN
State: single point on PBEsol structure

Properties
Relative energy among the computed polymorphs   0.000 eV per atom
Crystal system   orthorhombic
E_form   -0.144 eV per atom

```
Sr2MnRh
1.0
4.1146 0.0000 0.0000
0.0000 4.6077 0.0000
0.0000 0.0000 11.5723
Sr Mn Rh
4 2 2
direct
0.0000 0.0000 0.0000
0.0000 0.5000 0.5000
0.5000 0.0000 0.2806
0.5000 0.5000 0.7806
0.0000 0.0000 0.6925
0.0000 0.5000 0.1925
0.5000 0.0000 0.5814
0.5000 0.5000 0.0814
```

---

Record 22
Material: Sr2MnRh
Method: DFT, SCAN
State: single point on PBEsol structure

Properties
Relative energy among the computed polymorphs   0.310 eV per atom
Crystal system   tetragonal
E_form   0.166 eV per atom

```
Sr2MnRh
1.0
4.9250 0.0000 0.0000
0.0000 4.9250 0.0000
0.0000 0.0000 4.0228
Sr Mn Rh
2 1 1
direct
0.0000 0.5000 0.0000
0.5000 0.0000 0.0000
0.0000 0.0000 0.5000
0.5000 0.5000 0.5000
```

---

Record 23
Material: TaMn2Rh
Method: DFT, SCAN
State: single point on PBEsol structure

Properties
Crystal system   tetragonal
E_form   -0.257 eV per atom

```
TaMn2Rh
1.0
3.0730 0.0000 0.0000
0.0000 3.0730 0.0000
0.0000 0.0000 5.7908
Ta Mn Rh
1 2 1
direct
0.0000 0.0000 0.0000
0.5000 0.5000 0.2515
0.5000 0.5000 0.7485
0.0000 0.0000 0.5000
```

---

Record 24
Material: Ta2MnRh
Method: DFT, SCAN
State: single point on PBEsol structure

Properties
Crystal system   tetragonal
E_form   -0.242 eV per atom

```
Ta2MnRh
1.0
4.2444 0.0000 0.0000
0.0000 4.2444 0.0000
0.0000 0.0000 6.5710
Ta Mn Rh
4 2 2
direct
0.0000 0.5000 0.2500
0.0000 0.5000 0.7500
0.5000 0.0000 0.2500
0.5000 0.0000 0.7500
0.0000 0.0000 0.0000
0.5000 0.5000 0.5000
0.0000 0.0000 0.5000
0.5000 0.5000 0.0000
```

---

Record 25
Material: TaMn4Rh
Method: DFT, SCAN
State: single point on PBEsol structure

Properties
Crystal system   cubic
E_form   -0.069 eV per atom

```
TaMn4Rh
1.0
0.0000 3.3018 3.3018
3.3018 0.0000 3.3018
3.3018 3.3018 0.0000
Ta Mn Rh
1 4 1
direct
0.0000 0.0000 0.0000
0.1311 0.6230 0.6230
0.6230 0.1311 0.6230
0.6230 0.6230 0.1311
0.6230 0.6230 0.6230
0.2500 0.2500 0.2500
```

---

Record 26
Material: Ta2MnRh
Method: DFT, SCAN
State: single point on PBEsol structure

Properties
Crystal system   tetragonal
E_form   -0.272 eV per atom

```
Ta2MnRh
1.0
4.2283 0.0000 0.0000
0.0000 4.2283 0.0000
0.0000 0.0000 3.3121
Ta Mn Rh
2 1 1
direct
0.0000 0.5000 0.0000
0.5000 0.0000 0.0000
0.0000 0.0000 0.5000
0.5000 0.5000 0.5000
```

---

Record 27
Material: Ta4MnRh
Method: DFT, SCAN
State: single point on PBEsol structure

Properties
Crystal system   cubic
E_form   0.258 eV per atom

```
Ta4MnRh
1.0
0.0000 3.7332 3.7332
3.7332 0.0000 3.7332
3.7332 3.7332 0.0000
Ta Mn Rh
4 1 1
direct
0.1253 0.1253 0.1253
0.1253 0.1253 0.6242
0.1253 0.6242 0.1253
0.6242 0.1253 0.1253
0.5000 0.5000 0.5000
0.7500 0.7500 0.7500
```

---

Record 28
Material: Ta2MnRh
Method: DFT, SCAN
State: single point on PBEsol structure

Properties
Crystal system   trigonal
E_form   -0.056 eV per atom

```
Ta2MnRh
1.0
2.8443 0.0000 0.0000
-1.4221 2.4632 0.0000
0.0000 0.0000 26.7538
Ta Mn Rh
6 3 3
direct
0.0000 0.0000 0.0000
0.0000 0.0000 0.2388
0.3333 0.6667 0.6667
0.3333 0.6667 0.9055
0.6667 0.3333 0.3333
0.6667 0.3333 0.5722
0.0000 0.0000 0.7473
0.3333 0.6667 0.4139
0.6667 0.3333 0.0806
0.0000 0.0000 0.4912
0.3333 0.6667 0.1578
0.6667 0.3333 0.8245
```

---

Record 29
Material: Ta2MnRh
Method: DFT, SCAN
State: single point on PBEsol structure

Properties
Crystal system   tetragonal
E_form   -0.322 eV per atom

```
Ta2MnRh
1.0
2.9544 0.0000 0.0000
0.0000 2.9544 0.0000
0.0000 0.0000 6.7370
Ta Mn Rh
2 1 1
direct
0.0000 0.0000 0.2294
0.0000 0.0000 0.7706
0.5000 0.5000 0.0000
0.5000 0.5000 0.5000
```

---

Record 30
Material: MnTcRh
Method: DFT, SCAN
State: single point on PBEsol structure

Properties
Relative energy among the computed polymorphs   0.186 eV per atom
Crystal system   hexagonal
E_form   0.077 eV per atom

```
MnTcRh
1.0
4.1042 0.0000 0.0000
-2.0521 3.5544 0.0000
0.0000 0.0000 2.6267
Mn Tc Rh
1 1 1
direct
0.0000 0.0000 0.0000
0.3333 0.6667 0.0000
0.6667 0.3333 0.5000
```